# PBE CrMo2, optimized geometry
# * DFT total energy: -31.10 eV for the cell shown
# * energy above the most stable polymorph in this dataset: 13 meV/atom
# * volume: 43.7 Å³/f.u.
# * N(E_F): 1.83 states/eV/cell
# * energy relative to the elements: 0.063 eV/atom
# * mass density: 9.27 g/cm³
data_CrMo2
_cell_length_a 4.3312
_cell_length_b 4.3312
_cell_length_c 2.6890
_cell_angle_alpha 90.00
_cell_angle_beta 90.00
_cell_angle_gamma 120.00
_symmetry_space_group_name_H-M 'P -3 m 1'
_symmetry_Int_Tables_number 164
_symmetry_space_group_name_Hall '-P 3 2"'
loop_
_atom_site_label
_atom_site_type_symbol
_atom_site_fract_x
_atom_site_fract_y
_atom_site_fract_z
Cr1 Cr 0.0000 0.0000 0.0000
Mo1 Mo 0.3333 0.6667 0.3301